# 1
Below is a geometry-optimized La4Hf3 structure, with properties calculated at the PBE-GGA level.

abc: 9.5332 9.5332 9.5332
angles: 90.00 90.00 90.00
Space group I-43d (No. 220)
Asymmetric unit:
La1 0.0764 0.0764 0.0764 [16 per cell]
Hf1 0.0000 0.2500 0.3750 [12 per cell]

Formation enthalpy at 0 K ... 613 meV/atom
Total moment ... 0.0 μB/cell

***

# 2
Below is a geometry-optimized Na2Pm2O5 structure, with properties calculated at the PBE-GGA level.

abc: 4.3308 4.3308 8.1507
angles: 90.00 90.00 90.00
Space group P4/mmm (No. 123)
Asymmetric unit:
Na1 0.0000 0.0000 0.0000 [1 per cell]
Na2 0.0000 0.0000 0.5000 [1 per cell]
Pm1 0.5000 0.5000 0.2293 [2 per cell]
O1 0.0000 0.5000 0.1489 [4 per cell]
O2 0.5000 0.5000 0.5000 [1 per cell]

ΔE to the lowest computed polymorph ... 0 meV/atom
Total moment ... 2.0 μB/cell

***

# 3
Below is a geometry-optimized CsLu2Cu3Te4S structure, with properties calculated at the PBE-GGA level.

abc: 4.2578 15.6444 17.6963
angles: 90.00 90.00 90.00
Space group Cmcm (No. 63)
Asymmetric unit:
Cs1 0.0000 0.0720 0.2500 [4 per cell]
Lu1 0.0000 0.1954 0.6030 [8 per cell]
Cu1 0.0000 0.3346 0.2500 [4 per cell]
Cu2 0.0000 0.4197 0.5272 [8 per cell]
Te1 0.0000 0.1687 0.0679 [8 per cell]
Te2 0.0000 0.4399 0.1205 [8 per cell]
S1 0.0000 0.2317 0.7500 [4 per cell]

Total moment ... 0.0 μB/cell

***

# 4
Below is a geometry-optimized NaReAgS3 structure, with properties calculated at the PBE-GGA level.

abc: 3.3523 13.9643 9.7318
angles: 90.00 90.00 90.00
Space group Cmcm (No. 63)
Asymmetric unit:
Na1 0.0000 0.2282 0.2500 [4 per cell]
Re1 0.0000 0.5000 0.0000 [4 per cell]
Ag1 0.0000 0.0841 0.7500 [4 per cell]
S1 0.0000 0.1258 0.5123 [8 per cell]
S2 0.0000 0.4369 0.7500 [4 per cell]

Total moment ... 1.6 μB/cell

***

# 5
Below is a geometry-optimized Mg2B6W structure, with properties calculated at the PBE-GGA level.

abc: 9.1269 11.2249 3.3800
angles: 90.00 90.00 90.00
Space group Pbam (No. 55)
Asymmetric unit:
Mg1 0.0531 0.1276 0.0000 [4 per cell]
Mg2 0.1709 0.4131 0.0000 [4 per cell]
B1 0.0201 0.2885 0.5000 [4 per cell]
B2 0.0550 0.5620 0.5000 [4 per cell]
B3 0.0914 0.9748 0.5000 [4 per cell]
B4 0.1311 0.8233 0.5000 [4 per cell]
B5 0.1993 0.2417 0.5000 [4 per cell]
B6 0.2384 0.0754 0.5000 [4 per cell]
W1 0.1464 0.6803 0.0000 [4 per cell]

Total moment ... 0.1 μB/cell

***

# 6
Below is a geometry-optimized Sm3Ni2Pt7 structure, with properties calculated at the PBE-GGA level.

abc: 5.4106 5.4106 25.7246
angles: 90.00 90.00 120.00
Space group R-3m (No. 166, hexagonal axes)
Asymmetric unit:
Sm1 0.0000 0.0000 0.0000 [3 per cell]
Sm2 0.0000 0.0000 0.1390 [6 per cell]
Ni1 0.0000 0.0000 0.3333 [6 per cell]
Pt1 0.0000 0.0000 0.5000 [3 per cell]
Pt2 0.0033 0.5016 0.9201 [18 per cell]

Formation enthalpy at 0 K ... -857 meV/atom
Total moment ... 2.9 μB/cell

***

# 7
Below is a geometry-optimized Li4Mg2CdIn structure, with properties calculated at the PBE-GGA level.

abc: 4.7468 4.7468 6.6864
angles: 90.00 90.00 90.00
Space group P-4m2 (No. 115)
Asymmetric unit:
Li1 0.0000 0.0000 0.0000 [1 per cell]
Li2 0.0000 0.5000 0.2489 [2 per cell]
Li3 0.5000 0.5000 0.5000 [1 per cell]
Mg1 0.0000 0.5000 0.7530 [2 per cell]
Cd1 0.5000 0.5000 0.0000 [1 per cell]
In1 0.0000 0.0000 0.5000 [1 per cell]

***

# 8
Below is a geometry-optimized K2HfZnBr6 structure, with properties calculated at the PBE-GGA level.

abc: 11.6126 11.6126 11.6126
angles: 90.00 90.00 90.00
Space group Fm-3m (No. 225)
Asymmetric unit:
K1 0.2500 0.2500 0.2500 [8 per cell]
Hf1 0.0000 0.0000 0.0000 [4 per cell]
Zn1 0.0000 0.0000 0.5000 [4 per cell]
Br1 0.0000 0.0000 0.2262 [24 per cell]

Total moment ... 0.0 μB/cell

***

# 9
Below is a geometry-optimized Sc4TlNiN2 structure, with properties calculated at the PBE-GGA level.

abc: 3.2442 3.2442 13.8825
angles: 90.00 90.00 120.00
Space group P-6m2 (No. 187)
Asymmetric unit:
Sc1 0.0000 0.0000 0.1371 [2 per cell]
Sc2 0.6667 0.3333 0.3167 [2 per cell]
Tl1 0.0000 0.0000 0.5000 [1 per cell]
Ni1 0.6667 0.3333 0.0000 [1 per cell]
N1 0.3333 0.6667 0.2367 [2 per cell]

Total moment ... 0.0 μB/cell

***

# 10
Below is a geometry-optimized Pr2Ho2CICl4 structure, with properties calculated at the PBE-GGA level.

abc: 17.4770 3.8431 8.4492
angles: 90.00 105.39 90.00
Space group C2/m (No. 12)
Asymmetric unit:
Pr1 0.1498 0.0000 0.0843 [4 per cell]
Ho1 0.9999 0.5000 0.1920 [4 per cell]
C1 0.0000 0.0000 0.0000 [2 per cell]
I1 0.0000 0.0000 0.5000 [2 per cell]
Cl1 0.1594 0.5000 0.3369 [4 per cell]
Cl2 0.1640 0.5000 0.8360 [4 per cell]

ΔE to the lowest computed polymorph ... 8 meV/atom
Total moment ... 0.6 μB/cell

***

# 11
Below is a geometry-optimized NdBiI6 structure, with properties calculated at the PBE-GGA level.

abc: 7.8509 13.6266 7.7947
angles: 90.00 109.21 90.00
Space group C2 (No. 5)
Asymmetric unit:
Nd1 0.0000 0.0000 0.0000 [2 per cell]
Bi1 0.0000 0.3318 0.0000 [2 per cell]
I1 0.2278 0.1670 0.2490 [4 per cell]
I2 0.2450 0.3398 0.7564 [4 per cell]
I3 0.2487 0.9906 0.7560 [4 per cell]

Total moment ... 0.0 μB/cell

***

# 12
Below is a geometry-optimized Ba2MgSn2Au structure, with properties calculated at the PBE-GGA level.

abc: 4.8634 4.8634 9.8759
angles: 90.00 90.00 120.00
Space group P-6m2 (No. 187)
Asymmetric unit:
Ba1 0.0000 0.0000 0.2416 [2 per cell]
Mg1 0.3333 0.6667 0.5000 [1 per cell]
Sn1 0.3333 0.6667 0.0000 [1 per cell]
Sn2 0.6667 0.3333 0.5000 [1 per cell]
Au1 0.6667 0.3333 0.0000 [1 per cell]

***

Computed values of calculated total energy (unit: eV/f.u.) for the preceding records, in sequence: -45.26, -54.87, -47.41, -29.90, -57.31, -77.95, -16.06, -35.96, -58.28, -52.50, -25.60, -20.23.